VASP calculation (PBE) on a geometry-optimized ScCoOs2 structure.

Crystal system: tetragonal
Total DFT energy (no corrections): -8.626 eV/atom
Calculated volume: 130 Å³ per cell
Density of states at the Fermi level: 1.04 states/eV/f.u.
Magnetization: 0.00 μB per cell
Formation enthalpy at 0 K: 0.35 eV per atom
SG: No. 122

Unit cell a=7.489 b=7.489 c=5.784 alpha=49.65 beta=49.65 gamma=90.00
Sites, in units of the cell vectors:
Os 0.875 0.941 0.750
Os 0.059 0.625 0.250
Os 0.691 0.125 0.250
Os 0.375 0.309 0.750
Co 0.000 0.000 0.000
Co 0.750 0.250 0.500
Sc 0.250 0.750 0.500
Sc 0.500 0.500 0.000